# Tb3SmDy6

A geometry-optimized Tb3SmDy6 structure (PBE, Alexandria via LeMat-Bulk). Values from VASP.

energy of formation	14.3	kJ/mol of atoms
total energy	-4.474	eV/atom
space group	No. 36
energy relative to the lowest polymorph listed for this composition	25.6	meV per atom

```
&SYSTEM
  ibrav = 0, nat = 20, ntyp = 3
/
ATOMIC_SPECIES
Tb 158.93 Tb.upf
Sm 150.36 Sm.upf
Dy 162.50 Dy.upf
ATOMIC_POSITIONS crystal
Tb 0.110 0.890 0.500
Tb 0.218 0.438 0.112
Tb 0.438 0.218 0.612
Tb 0.562 0.782 0.112
Tb 0.782 0.562 0.612
Tb 0.890 0.110 0.000
Sm 0.294 0.706 0.427
Sm 0.706 0.294 0.927
Dy 0.038 0.458 0.704
Dy 0.119 0.211 0.535
Dy 0.211 0.119 0.035
Dy 0.218 0.782 0.930
Dy 0.454 0.546 0.658
Dy 0.458 0.038 0.204
Dy 0.542 0.962 0.704
Dy 0.546 0.454 0.158
Dy 0.782 0.218 0.430
Dy 0.789 0.881 0.535
Dy 0.881 0.789 0.035
Dy 0.962 0.542 0.204
CELL_PARAMETERS angstrom
5.511 -9.481 0.000
5.511 9.481 0.000
0.000 0.000 6.195
```



# TbSmDy4

A geometry-optimized TbSmDy4 structure (PBE, Alexandria via LeMat-Bulk). Values from VASP.

energy of formation	26.7	kJ/mol of atoms
total energy	-4.350	eV/atom
space group	No. 216
energy relative to the lowest polymorph listed for this composition	259.3	meV per atom

```
&SYSTEM
  ibrav = 0, nat = 6, ntyp = 3
/
ATOMIC_SPECIES
Tb 158.93 Tb.upf
Sm 150.36 Sm.upf
Dy 162.50 Dy.upf
ATOMIC_POSITIONS crystal
Tb 0.000 0.000 0.000
Sm 0.750 0.750 0.750
Dy 0.375 0.375 0.375
Dy 0.375 0.375 0.875
Dy 0.375 0.875 0.375
Dy 0.875 0.375 0.375
CELL_PARAMETERS angstrom
0.000 4.652 4.652
4.652 0.000 4.652
4.652 4.652 0.000
```



Table of total magnetization (μB/atom), in record order: 0.00; 0.15